# 1
Compound: Er3Mg5Tl2
Source: Alexandria via LeMat-Bulk
Functional: PBE
Structure: relaxed

```
Er3Mg5Tl2
1.0
-4.650 0.738 -4.009
-6.998 -6.472 2.156
-5.749 7.215 3.227
Mg Tl Er
10 4 6
Direct
0.607 0.241 0.545
0.492 0.258 0.258
0.250 0.500 0.500
0.893 0.455 0.759
0.393 0.759 0.455
0.008 0.742 0.742
0.750 0.500 0.500
0.508 0.742 0.742
0.107 0.545 0.241
0.992 0.258 0.258
0.140 0.709 0.012
0.860 0.291 0.988
0.360 0.988 0.291
0.640 0.012 0.709
0.750 0.000 0.000
0.868 0.903 0.362
0.632 0.638 0.097
0.132 0.097 0.638
0.250 0.000 0.000
0.368 0.362 0.903
```

Its density of states at the Fermi level is 13.97 states/eV per cell. The energy of formation is -0.011 eV per atom.

# 2
Compound: NpNbInO6
Source: Alexandria via LeMat-Bulk
Functional: PBE
Structure: relaxed

```
NpNbInO6
1.0
5.412 0.000 0.000
-2.706 4.687 0.000
0.000 0.000 9.705
O Nb Np In
12 2 2 2
Direct
0.672 0.648 0.133
0.024 0.352 0.633
0.352 0.328 0.367
0.328 0.352 0.867
0.648 0.976 0.867
0.648 0.672 0.633
0.672 0.024 0.367
0.976 0.328 0.133
0.352 0.024 0.133
0.024 0.672 0.867
0.328 0.976 0.633
0.976 0.648 0.367
0.667 0.333 0.250
0.333 0.667 0.750
0.000 0.000 0.500
0.000 0.000 0.000
0.333 0.667 0.250
0.667 0.333 0.750
```

As for the formation energy from raw total energies: -2.352 eV per atom. Its density of states at the Fermi level is 20.84 states/eV per cell.

# 3
Compound: B5C7
Source: Alexandria via LeMat-Bulk
Functional: PBE
Structure: relaxed

```
B5C7
1.0
-0.935 3.925 1.936
-3.575 1.608 2.175
2.552 -2.383 4.121
B C
5 7
Direct
0.983 0.993 0.000
0.304 0.317 0.149
0.643 0.674 0.319
0.072 0.003 0.520
0.613 0.082 0.432
0.351 0.349 0.681
0.566 0.072 0.899
0.667 0.669 0.833
0.270 0.742 0.755
0.884 0.412 0.063
0.936 0.449 0.595
0.210 0.738 0.255
```

The relative energy among the computed polymorphs comes out at 139.9 meV/atom. Its density of states at the Fermi level is 1.92 states/eV per cell. The energy of formation is 0.398 eV per atom.

# 4
Compound: Nd4MgZn2In
Source: Alexandria via LeMat-Bulk
Functional: PBE
Structure: relaxed

```
Nd4MgZn2In
1.0
5.344 0.000 0.000
2.672 4.628 0.000
2.672 1.543 8.803
Nd Mg Zn In
4 1 2 1
Direct
0.875 0.875 0.375
0.625 0.625 0.126
0.125 0.125 0.625
0.375 0.375 0.874
0.500 0.500 0.500
0.245 0.245 0.265
0.755 0.755 0.735
0.000 0.000 0.000
```

Its density of states at the Fermi level is 9.27 states/eV per cell. The energy of formation is -0.280 eV per atom.

# 5
Compound: Ce3P12Ru5
Source: Alexandria via LeMat-Bulk
Functional: PBE
Structure: relaxed

```
Ce3P12Ru5
1.0
-5.294 -3.563 11.045
-5.752 -6.078 -9.628
12.409 -2.954 0.085
P Ru Ce
48 20 12
Direct
0.608 0.900 0.422
0.478 0.685 0.078
0.185 0.078 0.978
0.422 0.022 0.315
0.900 0.293 0.478
0.922 0.108 0.900
0.293 0.392 0.815
0.100 0.707 0.522
0.892 0.078 0.600
0.185 0.108 0.707
0.293 0.900 0.978
0.207 0.685 0.108
0.707 0.608 0.185
0.685 0.478 0.578
0.207 0.522 0.600
0.108 0.185 0.207
0.578 0.600 0.392
0.078 0.185 0.478
0.892 0.815 0.793
0.793 0.478 0.400
0.707 0.100 0.022
0.978 0.578 0.185
0.315 0.522 0.422
0.392 0.293 0.315
0.978 0.400 0.293
0.815 0.922 0.022
0.022 0.422 0.815
0.815 0.892 0.293
0.600 0.022 0.207
0.022 0.600 0.707
0.422 0.400 0.608
0.400 0.422 0.108
0.608 0.707 0.685
0.100 0.392 0.078
0.522 0.315 0.922
0.400 0.978 0.793
0.478 0.793 0.900
0.578 0.978 0.685
0.108 0.922 0.400
0.793 0.315 0.892
0.685 0.207 0.608
0.315 0.793 0.392
0.078 0.892 0.100
0.900 0.608 0.922
0.600 0.578 0.892
0.522 0.207 0.100
0.922 0.815 0.522
0.392 0.100 0.578
0.000 0.000 0.000
0.250 0.875 0.125
0.000 0.500 0.000
0.500 0.500 0.500
0.500 0.500 0.000
0.500 0.000 0.500
0.750 0.625 0.375
0.250 0.375 0.625
0.625 0.750 0.875
0.000 0.000 0.500
0.125 0.375 0.250
0.750 0.125 0.875
0.375 0.125 0.750
0.625 0.875 0.250
0.875 0.250 0.625
0.500 0.000 0.000
0.375 0.250 0.125
0.875 0.625 0.750
0.000 0.500 0.500
0.125 0.750 0.375
0.875 0.750 0.125
0.250 0.125 0.375
0.750 0.375 0.125
0.125 0.875 0.750
0.625 0.375 0.750
0.875 0.125 0.250
0.375 0.625 0.250
0.750 0.875 0.625
0.125 0.250 0.875
0.625 0.250 0.375
0.375 0.750 0.625
0.250 0.625 0.875
```

Its density of states at the Fermi level is 61.05 states/eV per cell. The energy of formation is -0.393 eV per atom.

# 6
Compound: CoTcRu2
Source: Alexandria via LeMat-Bulk
Functional: PBE
Structure: relaxed

```
CoTcRu2
1.0
-3.608 0.256 0.921
0.316 -3.111 2.098
0.911 2.106 2.985
Tc Co Ru
1 1 2
Direct
0.500 0.500 0.000
0.500 0.000 0.500
0.000 0.000 0.000
0.000 0.500 0.500
```

The relative energy among the computed polymorphs comes out at 0.0 meV/atom. Its density of states at the Fermi level is 4.13 states/eV per cell. The energy of formation is 0.087 eV per atom.

# 7
Compound: SrMn3Be
Source: Alexandria via LeMat-Bulk
Functional: PBE
Structure: relaxed

```
SrMn3Be
1.0
4.948 0.000 0.000
0.000 4.948 0.000
0.000 0.000 4.948
Mn Sr Be
3 1 1
Direct
0.500 0.000 0.000
0.000 0.500 0.000
0.000 0.000 0.500
0.000 0.000 0.000
0.500 0.500 0.500
```

The relative energy among the computed polymorphs comes out at 1762.9 meV/atom. Its density of states at the Fermi level is 5.74 states/eV per cell. The energy of formation is 2.397 eV per atom.

# 8
Compound: Ac2Pr5Tl4
Source: Alexandria via LeMat-Bulk
Functional: PBE
Structure: relaxed

```
Ac2Pr5Tl4
1.0
3.850 0.000 0.000
0.000 8.244 0.875
-1.925 -0.661 12.553
Tl Ac Pr
4 2 5
Direct
0.653 0.605 0.306
0.935 0.251 0.870
0.065 0.749 0.130
0.347 0.395 0.694
0.926 0.681 0.853
0.074 0.319 0.147
0.500 0.000 0.000
0.818 0.068 0.636
0.182 0.932 0.364
0.783 0.664 0.566
0.217 0.336 0.434
```

Its density of states at the Fermi level is 13.95 states/eV per cell. The energy of formation is -0.035 eV per atom.

# 9
Compound: Tb4Pm5Th2
Source: Alexandria via LeMat-Bulk
Functional: PBE
Structure: relaxed

```
Tb4Pm5Th2
1.0
3.506 0.000 0.000
0.000 11.563 0.000
-1.753 -5.781 9.284
Tb Pm Th
4 5 2
Direct
0.000 0.272 0.000
0.589 0.589 0.177
0.411 0.411 0.823
0.000 0.728 0.000
0.500 0.000 0.000
0.823 0.535 0.646
0.177 0.465 0.354
0.823 0.111 0.646
0.177 0.889 0.354
0.797 0.797 0.593
0.203 0.203 0.407
```

The relative energy among the computed polymorphs comes out at 117.0 meV/atom. Its density of states at the Fermi level is 14.23 states/eV per cell. The energy of formation is 0.246 eV per atom.

# 10
Compound: BeAg2Pb
Source: Alexandria via LeMat-Bulk
Functional: PBE
Structure: relaxed

```
BeAg2Pb
1.0
-4.455 -1.101 0.364
2.265 -1.322 -5.186
0.788 -3.284 0.094
Ag Be Pb
2 1 1
Direct
0.500 0.000 0.500
0.000 0.000 0.000
0.000 0.500 0.500
0.500 0.500 0.000
```

The relative energy among the computed polymorphs comes out at 262.2 meV/atom. Its density of states at the Fermi level is 1.24 states/eV per cell. The energy of formation is 0.474 eV per atom.

# 11
Compound: Sr3ReS
Source: Alexandria via LeMat-Bulk
Functional: PBE
Structure: relaxed

```
Sr3ReS
1.0
5.636 0.000 0.000
0.000 5.636 0.000
0.000 0.000 5.636
Sr S Re
3 1 1
Direct
0.000 0.500 0.000
0.500 0.000 0.000
0.000 0.000 0.500
0.000 0.000 0.000
0.500 0.500 0.500
```

As for the formation energy from raw total energies: 0.236 eV per atom. The relative energy among the computed polymorphs comes out at 0.0 meV/atom. Its density of states at the Fermi level is 8.77 states/eV per cell.

# 12
Compound: La2Dy6In
Source: Alexandria via LeMat-Bulk
Functional: PBE
Structure: relaxed

```
La2Dy6In
1.0
-2.191 2.666 -0.761
-4.308 -0.891 9.282
8.552 4.323 -1.299
Dy La In
6 2 1
Direct
0.177 0.338 0.353
0.823 0.662 0.647
0.177 0.015 0.353
0.823 0.985 0.647
0.500 0.712 0.000
0.500 0.288 0.000
0.149 0.650 0.299
0.851 0.350 0.701
0.000 0.000 0.000
```

Its density of states at the Fermi level is 10.90 states/eV per cell. The energy of formation is -0.014 eV per atom.